(1)
{"formula": "TaMn2Si2", "functional": "PBE", "state": "optimized geometry", "raw_formation_energy_mev_per_atom": -193, "m_tot_mub_per_cell": 0.00, "lattice": [[-1.237, 2.492, -2.393], [-1.540, -2.664, -1.999], [-2.793, 0.532, 4.815]], "species": ["Si", "Mn", "Ta", "Si", "Mn"], "frac_coords": [[0.386, 0.386, 0.769], [0.248, 0.752, 0.500], [0.000, 0.000, 0.000], [0.614, 0.614, 0.231], [0.752, 0.248, 0.500]]}



(2)
{"formula": "TaMnSi", "functional": "PBE", "state": "optimized geometry", "raw_formation_energy_mev_per_atom": -569, "m_tot_mub_per_cell": 0.13, "lattice": [[7.268, 0.007, -0.015], [1.044, 7.193, 0.015], [-3.864, -3.937, 4.732]], "species": ["Mn", "Ta", "Ta", "Mn", "Mn", "Ta", "Si", "Si", "Ta", "Si", "Ta", "Mn", "Ta", "Si", "Mn", "Si", "Mn", "Si"], "frac_coords": [[0.593, 0.744, 0.091], [0.552, 0.097, 0.045], [0.968, 0.494, 0.026], [0.500, 0.252, 0.752], [0.153, 0.744, 0.651], [0.249, 0.910, 0.161], [0.173, 0.163, 0.001], [0.227, 0.480, 0.753], [0.751, 0.913, 0.661], [0.773, 0.526, 0.253], [0.032, 0.058, 0.526], [0.407, 0.498, 0.151], [0.448, 0.494, 0.545], [0.662, 0.163, 0.491], [0.847, 0.498, 0.591], [0.827, 0.829, 0.991], [0.000, 0.252, 0.252], [0.338, 0.829, 0.501]]}



(3)
{"formula": "TaMn2Si", "functional": "PBE", "state": "optimized geometry", "raw_formation_energy_mev_per_atom": -201, "m_tot_mub_per_cell": 2.30, "lattice": [[-1.288, 4.070, -2.209], [-4.223, -0.096, -2.294], [1.584, -1.205, 4.375]], "species": ["Si", "Ta", "Mn", "Mn"], "frac_coords": [[0.500, 0.500, 0.000], [0.750, 0.250, 0.500], [0.250, 0.750, 0.500], [0.000, 0.000, 0.000]]}



(4)
{"formula": "TaMn2Si", "functional": "PBE", "state": "optimized geometry", "raw_formation_energy_mev_per_atom": -63, "m_tot_mub_per_cell": 4.89, "lattice": [[-1.147, -1.079, -3.978], [-3.924, -1.529, -0.755], [-2.851, 2.380, -2.124]], "species": ["Mn", "Ta", "Mn", "Si"], "frac_coords": [[0.000, 0.000, 0.000], [0.250, 0.250, 0.250], [0.750, 0.750, 0.750], [0.500, 0.500, 0.500]]}



(5)
{"formula": "TaMn2Si", "functional": "PBE", "state": "optimized geometry", "raw_formation_energy_mev_per_atom": -79, "m_tot_mub_per_cell": 2.77, "lattice": [[4.185, 0.000, 0.000], [0.000, 2.707, -0.086], [0.000, 0.378, 4.745]], "species": ["Mn", "Ta", "Mn", "Si"], "frac_coords": [[0.000, 0.060, 0.013], [0.500, 0.750, 0.750], [0.000, 0.440, 0.487], [0.500, 0.250, 0.250]]}



(6)
{"formula": "TaMnSi", "functional": "PBE", "state": "optimized geometry", "raw_formation_energy_mev_per_atom": -287, "m_tot_mub_per_cell": 0.36, "lattice": [[4.076, 0.000, 0.000], [-2.038, 3.530, 0.000], [0.000, 0.000, 2.919]], "species": ["Mn", "Ta", "Si"], "frac_coords": [[0.000, 0.000, 0.105], [0.667, 0.333, 0.712], [0.333, 0.667, 0.182]]}



(7)
{"formula": "Ta2MnSi", "functional": "PBE", "state": "optimized geometry", "raw_formation_energy_mev_per_atom": -160, "polymorph_energy_ev_per_atom": 0.150, "m_tot_mub_per_cell": 1.60, "lattice": [[-1.521, -1.156, 2.671], [2.276, -2.352, 0.278], [3.161, 3.448, 3.293]], "species": ["Mn", "Ta", "Si", "Ta"], "frac_coords": [[0.000, 0.000, 0.523], [0.500, 0.500, 0.263], [0.500, 0.500, 0.737], [0.000, 0.000, 0.977]]}



(8)
{"formula": "Ta2MnSi", "functional": "PBE", "state": "optimized geometry", "raw_formation_energy_mev_per_atom": -196, "polymorph_energy_ev_per_atom": 0.114, "m_tot_mub_per_cell": 0.00, "lattice": [[-1.874, 2.241, -0.066], [-2.236, -1.863, 0.258], [0.373, 0.517, 6.967]], "species": ["Mn", "Ta", "Si", "Ta"], "frac_coords": [[0.000, 0.000, 0.531], [0.500, 0.500, 0.301], [0.500, 0.500, 0.702], [0.000, 0.000, 0.966]]}



(9)
{"formula": "TaMn2Si", "functional": "PBE", "state": "optimized geometry", "raw_formation_energy_mev_per_atom": -40, "m_tot_mub_per_cell": 2.78, "lattice": [[-1.186, -3.442, -3.333], [4.078, -0.925, 2.623], [-0.714, -2.105, 1.521]], "species": ["Mn", "Ta", "Mn", "Si"], "frac_coords": [[0.500, 0.500, 0.000], [0.000, 0.500, 0.500], [0.000, 0.000, 0.000], [0.500, 0.000, 0.500]]}



(10)
{"formula": "TaMn2Si", "functional": "PBE", "state": "optimized geometry", "raw_formation_energy_mev_per_atom": 128, "m_tot_mub_per_cell": 3.65, "lattice": [[-1.153, -5.087, 5.999], [0.362, -6.757, 4.172], [1.746, -4.949, 5.971]], "species": ["Mn", "Si", "Mn", "Ta"], "frac_coords": [[0.994, 0.994, 0.994], [0.250, 0.250, 0.250], [0.506, 0.506, 0.506], [0.750, 0.750, 0.750]]}



(11)
{"formula": "Ta3Mn8Si", "functional": "PBE", "state": "optimized geometry", "raw_formation_energy_mev_per_atom": -197, "m_tot_mub_per_cell": 2.19, "lattice": [[4.750, 0.000, 0.000], [-2.375, 4.113, 0.000], [0.000, 0.000, 7.820]], "species": ["Ta", "Mn", "Mn", "Ta", "Mn", "Mn", "Mn", "Mn", "Mn", "Si", "Mn", "Ta"], "frac_coords": [[0.333, 0.667, 0.442], [0.000, 0.000, 0.504], [0.171, 0.829, 0.747], [0.333, 0.667, 0.066], [0.826, 0.174, 0.252], [0.000, 0.000, 0.009], [0.826, 0.652, 0.252], [0.171, 0.343, 0.747], [0.657, 0.829, 0.747], [0.667, 0.333, 0.560], [0.348, 0.174, 0.252], [0.667, 0.333, 0.920]]}



(12)
{"formula": "Ta2MnSi", "functional": "PBE", "state": "optimized geometry", "raw_formation_energy_mev_per_atom": -160, "polymorph_energy_ev_per_atom": 0.150, "m_tot_mub_per_cell": 1.20, "lattice": [[3.310, 0.000, 0.000], [0.000, 3.290, -0.017], [0.000, 3.318, 5.576]], "species": ["Ta", "Mn", "Si", "Ta"], "frac_coords": [[0.000, 0.002, 0.998], [0.500, 0.250, 0.250], [0.500, 0.750, 0.750], [0.000, 0.498, 0.502]]}



(13)
{"formula": "Ta3MnSi", "functional": "PBE", "state": "optimized geometry", "raw_formation_energy_mev_per_atom": 804, "polymorph_energy_ev_per_atom": 0.000, "m_tot_mub_per_cell": 0.00, "lattice": [[4.554, 0.000, 0.000], [0.000, 4.554, 0.000], [0.000, 0.000, 4.554]], "species": ["Si", "Ta", "Ta", "Mn", "Ta"], "frac_coords": [[0.500, 0.500, 0.500], [0.000, 0.000, 0.500], [0.000, 0.500, 0.000], [0.000, 0.000, 0.000], [0.500, 0.000, 0.000]]}



(14)
{"formula": "TaMnSi4", "functional": "PBE", "state": "optimized geometry", "raw_formation_energy_mev_per_atom": 213, "m_tot_mub_per_cell": 2.91, "lattice": [[2.224, -4.330, -0.236], [-2.643, -4.084, -0.292], [-0.081, -2.559, -4.147]], "species": ["Si", "Si", "Si", "Si", "Mn", "Ta"], "frac_coords": [[0.375, 0.375, 0.375], [0.375, 0.375, 0.876], [0.876, 0.375, 0.375], [0.375, 0.876, 0.375], [0.000, 0.000, 0.000], [0.750, 0.750, 0.750]]}



(15)
{"formula": "Ta2MnSi", "functional": "PBE", "state": "optimized geometry", "raw_formation_energy_mev_per_atom": -87, "polymorph_energy_ev_per_atom": 0.223, "m_tot_mub_per_cell": 1.59, "lattice": [[-2.155, 0.510, 1.784], [0.154, -2.831, -0.223], [5.014, -0.210, 6.117]], "species": ["Si", "Ta", "Ta", "Mn"], "frac_coords": [[0.500, 0.500, 0.750], [0.000, 0.000, 0.499], [0.000, 0.000, 0.001], [0.500, 0.500, 0.250]]}



(16)
{"formula": "Ta2MnSi", "functional": "PBE", "state": "optimized geometry", "raw_formation_energy_mev_per_atom": -156, "polymorph_energy_ev_per_atom": 0.154, "m_tot_mub_per_cell": 0.81, "lattice": [[4.525, -0.015, 0.008], [-1.153, 4.376, 0.008], [-0.004, -0.006, 3.051]], "species": ["Mn", "Ta", "Ta", "Si"], "frac_coords": [[0.500, 0.000, 0.500], [0.500, 0.500, 0.000], [0.000, 0.000, 0.000], [0.000, 0.500, 0.500]]}



(17)
{"formula": "Ta2MnSi", "functional": "PBE", "state": "optimized geometry", "raw_formation_energy_mev_per_atom": -143, "polymorph_energy_ev_per_atom": 0.167, "m_tot_mub_per_cell": 1.20, "lattice": [[-3.538, -3.644, -0.695], [0.076, -2.654, -4.385], [3.337, 1.380, 3.638]], "species": ["Ta", "Ta", "Mn", "Si"], "frac_coords": [[0.250, 0.750, 0.500], [0.000, 0.000, 0.000], [0.500, 0.500, 0.000], [0.750, 0.250, 0.500]]}



(18)
{"formula": "Ta3MnSi", "functional": "PBE", "state": "optimized geometry", "raw_formation_energy_mev_per_atom": 1176, "polymorph_energy_ev_per_atom": 0.372, "m_tot_mub_per_cell": 0.35, "lattice": [[-3.617, 0.211, 2.817], [-2.807, -0.773, -3.547], [0.311, -4.519, 0.738]], "species": ["Mn", "Ta", "Si", "Ta", "Ta"], "frac_coords": [[0.500, 0.500, 0.500], [0.000, 0.000, 0.500], [0.000, 0.000, 0.000], [0.500, 0.000, 0.000], [0.000, 0.500, 0.000]]}



(19)
{"formula": "Ta2MnSi", "functional": "PBE", "state": "optimized geometry", "raw_formation_energy_mev_per_atom": -310, "polymorph_energy_ev_per_atom": 0.000, "m_tot_mub_per_cell": 0.00, "lattice": [[3.915, 0.000, 0.000], [0.000, 3.243, 0.000], [0.000, 1.619, 4.773]], "species": ["Ta", "Ta", "Mn", "Si"], "frac_coords": [[0.500, 0.269, 0.336], [0.000, 0.975, 0.926], [0.000, 0.708, 0.459], [0.500, 0.548, 0.779]]}



(20)
{"formula": "Ta2MnSi", "functional": "PBE", "state": "optimized geometry", "raw_formation_energy_mev_per_atom": -7, "polymorph_energy_ev_per_atom": 0.303, "m_tot_mub_per_cell": 0.00, "lattice": [[0.000, 3.106, 3.106], [3.106, 0.000, 3.106], [3.106, 3.106, 0.000]], "species": ["Ta", "Si", "Ta", "Mn"], "frac_coords": [[0.250, 0.250, 0.250], [0.000, 0.000, 0.000], [0.750, 0.750, 0.750], [0.500, 0.500, 0.500]]}



(21)
{"formula": "TaMn2Si", "functional": "PBE", "state": "optimized geometry", "raw_formation_energy_mev_per_atom": 359, "m_tot_mub_per_cell": 5.41, "lattice": [[-4.548, -1.960, 2.722], [2.560, -1.477, -4.817], [5.576, 0.248, -0.888]], "species": ["Mn", "Si", "Mn", "Ta"], "frac_coords": [[0.000, 0.768, 0.768], [0.000, 0.000, 0.000], [0.000, 0.232, 0.232], [0.000, 0.500, 0.500]]}



(22)
{"formula": "Ta2MnSi", "functional": "PBE", "state": "optimized geometry", "raw_formation_energy_mev_per_atom": -4, "polymorph_energy_ev_per_atom": 0.306, "m_tot_mub_per_cell": 2.55, "lattice": [[-2.650, -0.632, -0.735], [0.881, -2.464, -1.056], [-1.122, -3.376, 6.943]], "species": ["Ta", "Ta", "Mn", "Si"], "frac_coords": [[0.000, 0.000, 0.995], [0.000, 0.000, 0.505], [0.500, 0.500, 0.250], [0.500, 0.500, 0.750]]}



(23)
{"formula": "Ta2MnSi", "functional": "PBE", "state": "optimized geometry", "raw_formation_energy_mev_per_atom": -192, "polymorph_energy_ev_per_atom": 0.118, "m_tot_mub_per_cell": 1.34, "lattice": [[4.863, -0.099, 0.023], [3.648, 3.218, 0.023], [1.916, 0.702, 3.811]], "species": ["Si", "Ta", "Ta", "Mn"], "frac_coords": [[0.250, 0.250, 0.250], [0.491, 0.491, 0.509], [0.009, 0.009, 0.991], [0.750, 0.750, 0.750]]}



(24)
{"formula": "TaMnSi", "functional": "PBE", "state": "optimized geometry", "raw_formation_energy_mev_per_atom": -187, "m_tot_mub_per_cell": 1.75, "lattice": [[5.827, -0.001, 0.001], [5.042, 2.695, -0.005], [0.785, -0.238, 2.685]], "species": ["Mn", "Ta", "Si"], "frac_coords": [[0.982, 0.982, 0.018], [0.671, 0.671, 0.329], [0.347, 0.347, 0.653]]}



(25)
{"formula": "ThTaMnSi2", "functional": "PBE", "state": "optimized geometry", "raw_formation_energy_mev_per_atom": -534, "m_tot_mub_per_cell": 1.93, "lattice": [[-1.340, 1.833, -3.348], [-3.790, -0.218, 1.397], [3.192, 4.184, 3.457]], "species": ["Ta", "Si", "Mn", "Th", "Si"], "frac_coords": [[0.250, 0.750, 0.500], [0.389, 0.389, 0.778], [0.750, 0.250, 0.500], [0.000, 0.000, 0.000], [0.611, 0.611, 0.222]]}



(26)
{"formula": "YTaMnSi2", "functional": "PBE", "state": "optimized geometry", "raw_formation_energy_mev_per_atom": 1887, "polymorph_energy_ev_per_atom": 2.440, "m_tot_mub_per_cell": 3.91, "lattice": [[-2.213, -4.403, -1.447], [4.047, -2.602, 1.728], [-2.225, -0.397, 4.612]], "species": ["Si", "Mn", "Y", "Si", "Ta"], "frac_coords": [[0.000, 0.000, 0.500], [0.500, 0.500, 0.500], [0.000, 0.000, 0.000], [0.500, 0.000, 0.000], [0.000, 0.500, 0.000]]}



(27)
{"formula": "YTaMnSi2", "functional": "PBE", "state": "optimized geometry", "raw_formation_energy_mev_per_atom": -552, "polymorph_energy_ev_per_atom": 0.000, "m_tot_mub_per_cell": 1.26, "lattice": [[-1.648, 2.565, 2.476], [1.356, -2.072, 3.049], [4.851, 2.798, -2.786]], "species": ["Ta", "Si", "Si", "Mn", "Y"], "frac_coords": [[0.250, 0.750, 0.500], [0.393, 0.393, 0.785], [0.607, 0.607, 0.215], [0.750, 0.250, 0.500], [0.000, 0.000, 0.000]]}



(28)
{"formula": "TbMn4Si2", "functional": "PBE", "state": "optimized geometry", "raw_formation_energy_mev_per_atom": -465, "m_tot_mub_per_cell": 0.00, "lattice": [[3.812, 0.000, -0.795], [0.000, 3.869, 0.000], [-0.578, 0.000, 6.766]], "species": ["Mn", "Si", "Tb", "Mn", "Mn", "Mn", "Si"], "frac_coords": [[0.201, 0.500, 0.401], [0.595, 0.500, 0.190], [0.000, 0.000, 0.000], [0.299, 0.000, 0.598], [0.701, 0.000, 0.402], [0.799, 0.500, 0.599], [0.405, 0.500, 0.810]]}



(29)
{"formula": "Tb2MnSi", "functional": "PBE", "state": "optimized geometry", "raw_formation_energy_mev_per_atom": 390, "m_tot_mub_per_cell": 3.56, "lattice": [[3.446, 0.000, 0.000], [1.723, 2.985, 0.000], [1.723, 0.995, 9.986]], "species": ["Tb", "Si", "Tb", "Mn"], "frac_coords": [[0.098, 0.098, 0.706], [0.500, 0.500, 0.500], [0.902, 0.902, 0.294], [0.000, 0.000, 0.000]]}